<i>
Below is a relaxed structure of Ga4PdAu5, with properties calculated at the PBE level. Values from VASP.

```
&SYSTEM
  ibrav = 0, nat = 10, ntyp = 3
/
ATOMIC_SPECIES
Au 196.97 Au.upf
Ga 69.72 Ga.upf
Pd 106.42 Pd.upf
CELL_PARAMETERS angstrom
-2.1778 2.9041 0.0308
-4.3601 -3.2539 -1.4824
2.3449 -0.6153 9.8823
ATOMIC_POSITIONS crystal
Au 0.8126 0.2260 0.6253
Ga 0.0743 0.3297 0.1487
Pd 0.5000 0.0000 0.0000
Au 0.2042 0.2980 0.4084
Au 0.5000 0.5000 0.0000
Au 0.7958 0.7020 0.5916
Ga 0.3776 0.0499 0.7553
Au 0.1874 0.7740 0.3747
Ga 0.9257 0.6703 0.8513
Ga 0.6224 0.9501 0.2447
```

Values from the calculation:
The density of states at the Fermi level comes out at 0.32 states/eV per atom. The calculation puts the volume at 187.4 Å³ per cell. Its space-group type is C2/m.

<ii>
Below is a relaxed structure of Ga4PdAu5, with properties calculated at the PBE level. Values from VASP.

```
&SYSTEM
  ibrav = 0, nat = 10, ntyp = 3
/
ATOMIC_SPECIES
Au 196.97 Au.upf
Ga 69.72 Ga.upf
Pd 106.42 Pd.upf
CELL_PARAMETERS angstrom
3.9291 0.0000 -0.9970
-0.1714 5.9022 -0.6756
-0.1513 0.6886 7.6444
ATOMIC_POSITIONS crystal
Au 0.2429 0.3215 0.4858
Ga 0.3233 0.9353 0.6465
Ga 0.0650 0.2413 0.1299
Pd 0.5000 0.0000 0.0000
Au 0.1175 0.7048 0.2351
Ga 0.9350 0.7587 0.8701
Au 0.7571 0.6785 0.5142
Ga 0.6767 0.0647 0.3535
Au 0.5000 0.5000 0.0000
Au 0.8825 0.2952 0.7649
```

Values from the calculation:
The density of states at the Fermi level comes out at 0.36 states/eV per atom. The calculation puts the volume at 178.3 Å³ per cell. Its space-group type is C2/m.

What should be chosen as the least stable of them? Choose <ii>.